Compound: Sr2CdIn5
Source: the Alexandria database
Functional: PBE
Structure: optimized geometry

The structure in CIF format:
```
data_Sr2CdIn5
_chemical_formula_sum 'Sr2 Cd1 In5'
_symmetry_space_group_name_H-M 'P 1'
_symmetry_Int_Tables_number 1
_cell_length_a 6.847
_cell_length_b 6.847
_cell_length_c 6.847
_cell_angle_alpha 119.33
_cell_angle_beta 119.33
_cell_angle_gamma 91.16
loop_
_symmetry_equiv_pos_as_xyz
'x,y,z'
loop_
_atom_site_label
_atom_site_type_symbol
_atom_site_fract_x
_atom_site_fract_y
_atom_site_fract_z
Sr1 Sr 0.000 0.500 0.500
Sr2 Sr 0.500 0.000 0.500
Cd1 Cd 0.036 0.036 0.000
In1 In 0.465 0.465 0.000
In2 In 0.518 0.518 0.536
In3 In 0.518 0.982 0.000
In4 In 0.982 0.518 0.000
In5 In 0.982 0.982 0.464
```

total magnetic moment = 0.000 μB per atom
V = 28.65 Å³/atom
DFT formation energy = -0.283 eV/atom
E_tot = -0.0929 hartree per atom

Compound: SrCdIn2
Source: the Alexandria database
Functional: PBE
Structure: optimized geometry

The structure in CIF format:
```
data_SrCdIn2
_chemical_formula_sum 'Sr1 Cd1 In2'
_symmetry_space_group_name_H-M 'P 1'
_symmetry_Int_Tables_number 1
_cell_length_a 6.177
_cell_length_b 6.177
_cell_length_c 6.177
_cell_angle_alpha 138.40
_cell_angle_beta 129.71
_cell_angle_gamma 67.25
loop_
_symmetry_equiv_pos_as_xyz
'x,y,z'
loop_
_atom_site_label
_atom_site_type_symbol
_atom_site_fract_x
_atom_site_fract_y
_atom_site_fract_z
Sr1 Sr 0.000 0.000 0.000
Cd1 Cd 0.500 0.500 0.000
In1 In 0.270 0.770 0.500
In2 In 0.730 0.230 0.500
```

total magnetic moment = 0.000 μB per atom
V = 29.61 Å³/atom
DFT formation energy = -0.205 eV/atom
E_tot = -0.0817 hartree per atom

Compound: SrCd2In
Source: the Alexandria database
Functional: PBE
Structure: optimized geometry

The structure in CIF format:
```
data_SrCd2In
_chemical_formula_sum 'Sr1 Cd2 In1'
_symmetry_space_group_name_H-M 'P 1'
_symmetry_Int_Tables_number 1
_cell_length_a 6.376
_cell_length_b 6.376
_cell_length_c 6.376
_cell_angle_alpha 45.28
_cell_angle_beta 45.28
_cell_angle_gamma 45.28
loop_
_symmetry_equiv_pos_as_xyz
'x,y,z'
loop_
_atom_site_label
_atom_site_type_symbol
_atom_site_fract_x
_atom_site_fract_y
_atom_site_fract_z
Sr1 Sr 0.000 0.000 0.000
Cd1 Cd 0.216 0.216 0.216
Cd2 Cd 0.510 0.510 0.510
In1 In 0.782 0.782 0.782
```

total magnetic moment = 0.000 μB per atom
V = 29.81 Å³/atom
DFT formation energy = -0.242 eV/atom
E_tot = -0.0663 hartree per atom

Compound: Sr6Cd23In
Source: the Alexandria database
Functional: PBE
Structure: optimized geometry

The structure in CIF format:
```
data_Sr6Cd23In
_chemical_formula_sum 'Sr6 Cd23 In1'
_symmetry_space_group_name_H-M 'P 1'
_symmetry_Int_Tables_number 1
_cell_length_a 10.369
_cell_length_b 10.369
_cell_length_c 10.369
_cell_angle_alpha 60.00
_cell_angle_beta 60.00
_cell_angle_gamma 60.00
loop_
_symmetry_equiv_pos_as_xyz
'x,y,z'
loop_
_atom_site_label
_atom_site_type_symbol
_atom_site_fract_x
_atom_site_fract_y
_atom_site_fract_z
Sr1 Sr 0.227 0.227 0.773
Sr2 Sr 0.227 0.773 0.227
Sr3 Sr 0.227 0.773 0.773
Sr4 Sr 0.773 0.227 0.227
Sr5 Sr 0.773 0.227 0.773
Sr6 Sr 0.773 0.773 0.227
Cd1 Cd 0.000 0.000 0.500
Cd2 Cd 0.000 0.500 0.000
Cd3 Cd 0.000 0.500 0.500
Cd4 Cd 0.121 0.626 0.626
Cd5 Cd 0.163 0.163 0.163
Cd6 Cd 0.163 0.163 0.511
Cd7 Cd 0.163 0.511 0.163
Cd8 Cd 0.374 0.374 0.374
Cd9 Cd 0.374 0.374 0.879
Cd10 Cd 0.374 0.879 0.374
Cd11 Cd 0.489 0.837 0.837
Cd12 Cd 0.500 0.000 0.000
Cd13 Cd 0.500 0.000 0.500
Cd14 Cd 0.500 0.500 0.000
Cd15 Cd 0.500 0.500 0.500
Cd16 Cd 0.511 0.163 0.163
Cd17 Cd 0.626 0.121 0.626
Cd18 Cd 0.626 0.626 0.121
Cd19 Cd 0.626 0.626 0.626
Cd20 Cd 0.837 0.489 0.837
Cd21 Cd 0.837 0.837 0.489
Cd22 Cd 0.837 0.837 0.837
Cd23 Cd 0.879 0.374 0.374
In1 In 0.000 0.000 0.000
```

total magnetic moment = 0.000 μB per atom
V = 26.28 Å³/atom
DFT formation energy = -0.232 eV/atom
E_tot = -0.0500 hartree per atom

Compound: Sr2Cd9In3
Source: the Alexandria database
Functional: PBE
Structure: optimized geometry

The structure in CIF format:
```
data_Sr2Cd9In3
_chemical_formula_sum 'Sr4 Cd18 In6'
_symmetry_space_group_name_H-M 'P 1'
_symmetry_Int_Tables_number 1
_cell_length_a 8.895
_cell_length_b 8.895
_cell_length_c 10.458
_cell_angle_alpha 90.00
_cell_angle_beta 90.00
_cell_angle_gamma 60.52
loop_
_symmetry_equiv_pos_as_xyz
'x,y,z'
loop_
_atom_site_label
_atom_site_type_symbol
_atom_site_fract_x
_atom_site_fract_y
_atom_site_fract_z
Sr1 Sr 0.001 0.679 0.750
Sr2 Sr 0.321 0.999 0.750
Sr3 Sr 0.679 0.001 0.250
Sr4 Sr 0.999 0.321 0.250
Cd1 Cd 0.017 0.657 0.094
Cd2 Cd 0.017 0.657 0.406
Cd3 Cd 0.148 0.852 0.250
Cd4 Cd 0.336 0.664 0.559
Cd5 Cd 0.336 0.664 0.941
Cd6 Cd 0.343 0.983 0.094
Cd7 Cd 0.343 0.983 0.406
Cd8 Cd 0.356 0.452 0.250
Cd9 Cd 0.452 0.356 0.750
Cd10 Cd 0.548 0.644 0.250
Cd11 Cd 0.644 0.548 0.750
Cd12 Cd 0.657 0.017 0.594
Cd13 Cd 0.657 0.017 0.906
Cd14 Cd 0.664 0.336 0.059
Cd15 Cd 0.664 0.336 0.441
Cd16 Cd 0.852 0.148 0.750
Cd17 Cd 0.983 0.343 0.594
Cd18 Cd 0.983 0.343 0.906
In1 In 0.000 0.000 0.000
In2 In 0.000 0.000 0.500
In3 In 0.314 0.314 0.000
In4 In 0.314 0.314 0.500
In5 In 0.686 0.686 0.000
In6 In 0.686 0.686 0.500
```

total magnetic moment = 0.000 μB per atom
V = 25.73 Å³/atom
DFT formation energy = -0.199 eV/atom
E_tot = -0.0593 hartree per atom

Compound: Sr2Cd16In
Source: the Alexandria database
Functional: PBE
Structure: optimized geometry

The structure in CIF format:
```
data_Sr2Cd16In
_chemical_formula_sum 'Sr2 Cd16 In1'
_symmetry_space_group_name_H-M 'P 1'
_symmetry_Int_Tables_number 1
_cell_length_a 7.800
_cell_length_b 7.800
_cell_length_c 7.800
_cell_angle_alpha 83.10
_cell_angle_beta 83.10
_cell_angle_gamma 83.10
loop_
_symmetry_equiv_pos_as_xyz
'x,y,z'
loop_
_atom_site_label
_atom_site_type_symbol
_atom_site_fract_x
_atom_site_fract_y
_atom_site_fract_z
Sr1 Sr 0.000 0.000 0.000
Sr2 Sr 0.328 0.328 0.328
Cd1 Cd 0.020 0.020 0.501
Cd2 Cd 0.020 0.501 0.020
Cd3 Cd 0.158 0.668 0.668
Cd4 Cd 0.307 0.307 0.828
Cd5 Cd 0.307 0.828 0.307
Cd6 Cd 0.363 0.664 0.966
Cd7 Cd 0.363 0.966 0.664
Cd8 Cd 0.501 0.020 0.020
Cd9 Cd 0.664 0.363 0.966
Cd10 Cd 0.664 0.966 0.363
Cd11 Cd 0.668 0.158 0.668
Cd12 Cd 0.668 0.668 0.158
Cd13 Cd 0.763 0.763 0.763
Cd14 Cd 0.828 0.307 0.307
Cd15 Cd 0.966 0.363 0.664
Cd16 Cd 0.966 0.664 0.363
In1 In 0.563 0.563 0.563
```

total magnetic moment = 0.000 μB per atom
V = 24.47 Å³/atom
DFT formation energy = -0.165 eV/atom
E_tot = -0.0462 hartree per atom

Compound: Sr3Cd4In4
Source: the Alexandria database
Functional: PBE
Structure: optimized geometry

The structure in CIF format:
```
data_Sr3Cd4In4
_chemical_formula_sum 'Sr3 Cd4 In4'
_symmetry_space_group_name_H-M 'P 1'
_symmetry_Int_Tables_number 1
_cell_length_a 4.051
_cell_length_b 5.095
_cell_length_c 15.798
_cell_angle_alpha 80.80
_cell_angle_beta 82.66
_cell_angle_gamma 89.95
loop_
_symmetry_equiv_pos_as_xyz
'x,y,z'
loop_
_atom_site_label
_atom_site_type_symbol
_atom_site_fract_x
_atom_site_fract_y
_atom_site_fract_z
Sr1 Sr 0.000 0.000 0.000
Sr2 Sr 0.144 0.643 0.712
Sr3 Sr 0.856 0.357 0.288
Cd1 Cd 0.260 0.261 0.479
Cd2 Cd 0.408 0.907 0.187
Cd3 Cd 0.592 0.093 0.813
Cd4 Cd 0.740 0.739 0.521
In1 In 0.313 0.814 0.375
In2 In 0.454 0.452 0.096
In3 In 0.546 0.548 0.904
In4 In 0.687 0.186 0.625
```

total magnetic moment = 0.000 μB per atom
V = 29.02 Å³/atom
DFT formation energy = -0.342 eV/atom
E_tot = -0.0782 hartree per atom

Compound: Sr2Cd3In2
Source: the Alexandria database
Functional: PBE
Structure: optimized geometry

The structure in CIF format:
```
data_Sr2Cd3In2
_chemical_formula_sum 'Sr2 Cd3 In2'
_symmetry_space_group_name_H-M 'P 1'
_symmetry_Int_Tables_number 1
_cell_length_a 6.512
_cell_length_b 6.512
_cell_length_c 7.576
_cell_angle_alpha 112.51
_cell_angle_beta 112.51
_cell_angle_gamma 44.35
loop_
_symmetry_equiv_pos_as_xyz
'x,y,z'
loop_
_atom_site_label
_atom_site_type_symbol
_atom_site_fract_x
_atom_site_fract_y
_atom_site_fract_z
Sr1 Sr 0.149 0.149 0.267
Sr2 Sr 0.851 0.851 0.733
Cd1 Cd 0.405 0.405 0.073
Cd2 Cd 0.500 0.500 0.500
Cd3 Cd 0.595 0.595 0.927
In1 In 0.148 0.148 0.740
In2 In 0.852 0.852 0.260
```

total magnetic moment = 0.000 μB per atom
V = 29.21 Å³/atom
DFT formation energy = -0.333 eV/atom
E_tot = -0.0731 hartree per atom

Compound: SrCd2In
Source: the Alexandria database
Functional: PBE
Structure: optimized geometry

The structure in CIF format:
```
data_SrCd2In
_chemical_formula_sum 'Sr1 Cd2 In1'
_symmetry_space_group_name_H-M 'P 1'
_symmetry_Int_Tables_number 1
_cell_length_a 3.802
_cell_length_b 3.802
_cell_length_c 7.798
_cell_angle_alpha 90.00
_cell_angle_beta 90.00
_cell_angle_gamma 90.00
loop_
_symmetry_equiv_pos_as_xyz
'x,y,z'
loop_
_atom_site_label
_atom_site_type_symbol
_atom_site_fract_x
_atom_site_fract_y
_atom_site_fract_z
Sr1 Sr 0.000 0.000 0.000
Cd1 Cd 0.000 0.000 0.490
Cd2 Cd 0.500 0.500 0.288
In1 In 0.500 0.500 0.704
```

total magnetic moment = 0.000 μB per atom
V = 28.19 Å³/atom
DFT formation energy = -0.209 eV/atom
E_tot = -0.0651 hartree per atom

Compound: Sr3Cd2In9
Source: the Alexandria database
Functional: PBE
Structure: optimized geometry

The structure in CIF format:
```
data_Sr3Cd2In9
_chemical_formula_sum 'Sr3 Cd2 In9'
_symmetry_space_group_name_H-M 'P 1'
_symmetry_Int_Tables_number 1
_cell_length_a 9.445
_cell_length_b 9.445
_cell_length_c 9.445
_cell_angle_alpha 149.80
_cell_angle_beta 105.98
_cell_angle_gamma 81.98
loop_
_symmetry_equiv_pos_as_xyz
'x,y,z'
loop_
_atom_site_label
_atom_site_type_symbol
_atom_site_fract_x
_atom_site_fract_y
_atom_site_fract_z
Sr1 Sr 0.000 0.000 0.000
Sr2 Sr 0.307 0.307 0.000
Sr3 Sr 0.693 0.693 0.000
Cd1 Cd 0.313 0.500 0.813
Cd2 Cd 0.687 0.500 0.187
In1 In 0.026 0.655 0.371
In2 In 0.134 0.855 0.279
In3 In 0.284 0.655 0.629
In4 In 0.423 0.145 0.279
In5 In 0.500 0.000 0.500
In6 In 0.577 0.855 0.721
In7 In 0.716 0.345 0.371
In8 In 0.866 0.145 0.721
In9 In 0.974 0.345 0.629
```

total magnetic moment = 0.000 μB per atom
V = 28.49 Å³/atom
DFT formation energy = -0.310 eV/atom
E_tot = -0.0941 hartree per atom

Compound: Sr3Cd7In2
Source: the Alexandria database
Functional: PBE
Structure: optimized geometry

The structure in CIF format:
```
data_Sr3Cd7In2
_chemical_formula_sum 'Sr3 Cd7 In2'
_symmetry_space_group_name_H-M 'P 1'
_symmetry_Int_Tables_number 1
_cell_length_a 6.103
_cell_length_b 4.470
_cell_length_c 13.501
_cell_angle_alpha 90.00
_cell_angle_beta 102.86
_cell_angle_gamma 90.00
loop_
_symmetry_equiv_pos_as_xyz
'x,y,z'
loop_
_atom_site_label
_atom_site_type_symbol
_atom_site_fract_x
_atom_site_fract_y
_atom_site_fract_z
Sr1 Sr 0.000 0.000 0.000
Sr2 Sr 0.303 0.000 0.619
Sr3 Sr 0.697 0.000 0.381
Cd1 Cd 0.142 0.000 0.274
Cd2 Cd 0.233 0.500 0.423
Cd3 Cd 0.357 0.500 0.191
Cd4 Cd 0.500 0.500 0.000
Cd5 Cd 0.643 0.500 0.809
Cd6 Cd 0.767 0.500 0.577
Cd7 Cd 0.858 0.000 0.726
In1 In 0.159 0.500 0.809
In2 In 0.841 0.500 0.191
```

total magnetic moment = 0.000 μB per atom
V = 29.93 Å³/atom
DFT formation energy = -0.235 eV/atom
E_tot = -0.0605 hartree per atom

Compound: Sr6CdIn2
Source: the Alexandria database
Functional: PBE
Structure: optimized geometry

The structure in CIF format:
```
data_Sr6CdIn2
_chemical_formula_sum 'Sr6 Cd1 In2'
_symmetry_space_group_name_H-M 'P 1'
_symmetry_Int_Tables_number 1
_cell_length_a 6.000
_cell_length_b 6.000
_cell_length_c 11.223
_cell_angle_alpha 90.00
_cell_angle_beta 90.00
_cell_angle_gamma 120.00
loop_
_symmetry_equiv_pos_as_xyz
'x,y,z'
loop_
_atom_site_label
_atom_site_type_symbol
_atom_site_fract_x
_atom_site_fract_y
_atom_site_fract_z
Sr1 Sr 0.000 0.000 0.208
Sr2 Sr 0.000 0.000 0.792
Sr3 Sr 0.333 0.667 0.056
Sr4 Sr 0.333 0.667 0.414
Sr5 Sr 0.667 0.333 0.586
Sr6 Sr 0.667 0.333 0.944
Cd1 Cd 0.000 0.000 0.500
In1 In 0.333 0.667 0.742
In2 In 0.667 0.333 0.258
```

total magnetic moment = 0.000 μB per atom
V = 38.88 Å³/atom
DFT formation energy = -0.249 eV/atom
E_tot = -0.0765 hartree per atom